[1]
# Er12FePd6

Er12FePd6 after structural relaxation (PBE, the Alexandria database).

- Mass density: 8.861 g/cm3
- Energy of formation: -0.490 eV/atom

abc: 8.0829 8.0829 8.0829
angles: 98.99 98.99 98.99
Positions (direct):
Er (0.0321, 0.6863, 0.9243)
Er (0.0757, 0.9679, 0.3137)
Er (0.1805, 0.4185, 0.5759)
Er (0.3137, 0.0757, 0.9679)
Er (0.4185, 0.5759, 0.1805)
Er (0.4241, 0.8195, 0.5815)
Er (0.5759, 0.1805, 0.4185)
Er (0.5815, 0.4241, 0.8195)
Er (0.6863, 0.9243, 0.0321)
Er (0.8195, 0.5815, 0.4241)
Er (0.9243, 0.0321, 0.6863)
Er (0.9679, 0.3137, 0.0757)
Fe (0.0000, 0.0000, 0.0000)
Pd (0.1322, 0.6243, 0.3126)
Pd (0.3126, 0.1322, 0.6243)
Pd (0.3757, 0.6874, 0.8678)
Pd (0.6243, 0.3126, 0.1322)
Pd (0.6874, 0.8678, 0.3757)
Pd (0.8678, 0.3757, 0.6874)


[2]
# ErFe2Pd9

ErFe2Pd9 after structural relaxation (PBE, the Alexandria database).

- Mass density: 10.978 g/cm3
- Energy of formation: -0.349 eV/atom

abc: 3.9790 3.9790 11.8160
angles: 90.00 90.00 90.00
Positions (direct):
Er (0.0000, 0.0000, 0.0000)
Fe (0.0000, 0.0000, 0.3391)
Fe (0.0000, 0.0000, 0.6609)
Pd (0.0000, 0.5000, 0.1806)
Pd (0.0000, 0.5000, 0.5000)
Pd (0.0000, 0.5000, 0.8194)
Pd (0.5000, 0.0000, 0.1806)
Pd (0.5000, 0.0000, 0.5000)
Pd (0.5000, 0.0000, 0.8194)
Pd (0.5000, 0.5000, 0.0000)
Pd (0.5000, 0.5000, 0.3399)
Pd (0.5000, 0.5000, 0.6601)